Crystalline RbCdSn3 at its relaxed geometry, computed with PBE.

Values from the calculation:
* SG: No. 31
* formation energy: -53 meV per atom
* spin magnetization: 0.00 μB per cell

```
RbCdSn3
1.0
6.8246 0.0000 0.0000
0.0000 6.8465 0.0000
0.0000 0.0000 6.8672
Rb Cd Sn
2 2 6
Direct
0.0000 0.2487 0.0000 Rb
0.5000 0.7513 0.5000 Rb
0.0000 0.9004 0.3452 Cd
0.5000 0.0996 0.8452 Cd
0.0000 0.6066 0.6442 Sn
0.2488 0.2480 0.5006 Sn
0.2512 0.7520 0.0006 Sn
0.5000 0.3934 0.1442 Sn
0.7488 0.7520 0.0006 Sn
0.7512 0.2480 0.5006 Sn
```